1.
VASP calculation (meta-GGA SCAN) on a PBEsol-optimized structure of Tl2CdSb.

Results
Energy above the lowest structure with this stoichiometry: 0.042 eV per formula unit
Energy: -53.0490 eV per atom
Uncorrected formation energy: 0.049 eV/atom
DOS at the Fermi energy: 1.71 states/eV per cell

Geometry as POSCAR:
```
Tl2CdSb
1.0
3.438 0.000 0.000
0.000 3.992 0.000
0.000 0.000 7.819
Sb Tl Cd
1 2 1
direct
0.500 0.500 0.722
0.500 0.500 0.277
0.000 0.000 0.986
0.000 0.000 0.514
```

2.
VASP calculation (meta-GGA SCAN) on a PBEsol-optimized structure of Ag2OsRh.

Results
Energy above the lowest structure with this stoichiometry: 0.000 eV per formula unit
Energy: -41.5987 eV per atom
Energy of formation: 48.0 kJ per mole of atoms
DOS at the Fermi energy: 4.16 states/eV per cell

Geometry as POSCAR:
```
Ag2OsRh
1.0
-2.212 -0.802 1.371
-0.291 -2.615 0.705
3.526 0.537 8.707
Ag Os Rh
2 1 1
direct
0.251 0.251 0.248
0.749 0.749 0.752
0.500 0.500 0.500
0.000 0.000 0.000
```

3.
VASP calculation (meta-GGA SCAN) on a PBEsol-optimized structure of KRb2Na.

Results
Energy above the lowest structure with this stoichiometry: 0.205 eV per formula unit
Energy: -13.4259 eV per atom
Energy of formation: 7.7 kJ per mole of atoms
DOS at the Fermi energy: 5.73 states/eV per cell

Geometry as POSCAR:
```
KRb2Na
1.0
8.616 0.000 0.000
4.308 8.110 0.000
4.308 0.000 8.110
K Rb Na
2 4 2
direct
0.750 0.500 0.500
0.000 0.000 0.000
0.594 0.531 0.031
0.156 0.469 0.969
0.875 0.969 0.531
0.375 0.031 0.469
0.250 0.500 0.500
0.500 0.000 0.000
```

4.
VASP calculation (meta-GGA SCAN) on a PBEsol-optimized structure of Ca2AgSb.

Results
Energy: -22.6812 eV per atom
Uncorrected formation energy: -0.693 eV/atom
DOS at the Fermi energy: 1.31 states/eV per cell

Geometry as POSCAR:
```
Ca2AgSb
1.0
3.942 0.000 0.000
0.000 5.093 0.000
0.000 0.000 5.093
Ca Sb Ag
2 1 1
direct
0.000 0.000 0.500
0.000 0.500 0.000
0.500 0.500 0.500
0.500 0.000 0.000
```

5.
VASP calculation (meta-GGA SCAN) on a PBEsol-optimized structure of BaRhSe2N.

Results
Energy above the lowest structure with this stoichiometry: 0.000 eV per formula unit
Energy: -25.1349 eV per atom
Uncorrected formation energy: -0.581 eV/atom
DOS at the Fermi energy: 3.34 states/eV per cell

Geometry as POSCAR:
```
BaRhSe2N
1.0
3.706 0.000 0.000
0.000 5.319 0.000
0.000 0.000 5.319
Rh Se Ba N
1 2 1 1
direct
0.000 0.000 0.000
0.000 0.500 0.000
0.000 0.000 0.500
0.500 0.500 0.500
0.500 0.000 0.000
```

6.
VASP calculation (meta-GGA SCAN) on a PBEsol-optimized structure of Ca2TlReSb.

Results
Energy: -39.4708 eV per atom
Uncorrected formation energy: 0.538 eV/atom
DOS at the Fermi energy: 2.34 states/eV per cell

Geometry as POSCAR:
```
Ca2TlReSb
1.0
5.210 0.000 0.000
0.000 5.420 0.000
0.000 0.000 5.420
Re Ca Sb Tl
1 2 1 1
direct
0.000 0.000 0.000
0.000 0.000 0.500
0.000 0.500 0.000
0.500 0.500 0.500
0.500 0.000 0.000
```

7.
VASP calculation (meta-GGA SCAN) on a PBEsol-optimized structure of LaIO2.

Results
Energy: -25.4455 eV per atom
Uncorrected formation energy: -2.368 eV/atom
DOS at the Fermi energy: 0.00 states/eV per cell

Geometry as POSCAR:
```
LaIO2
1.0
-2.639 2.590 -1.356
-2.559 -1.076 -2.794
-5.749 -1.299 2.989
O I La
2 1 1
direct
0.882 0.882 0.354
0.118 0.118 0.646
0.000 0.000 0.000
0.500 0.500 0.500
```

8.
VASP calculation (meta-GGA SCAN) on a PBEsol-optimized structure of SrNi2P.

Results
Energy: -16.3326 eV per atom
Energy of formation: -7.5 kJ per mole of atoms
DOS at the Fermi energy: 2.02 states/eV per cell

Geometry as POSCAR:
```
SrNi2P
1.0
-2.348 -1.028 -2.503
-4.146 -1.706 2.027
-3.813 3.099 -0.259
Ni Sr P
2 1 1
direct
0.167 0.833 0.833
0.833 0.167 0.167
0.000 0.500 0.500
0.500 0.000 0.000
```

Q: Which formula does entry 6 have?
A: Ca2TlReSb

Q: Among the records above, which one has the lowest DOS at the Fermi energy?
A: LaIO2

Q: What is the energy in the third record?
A: -13.4259 eV per atom

Please write out number 8 again, unchanged.
VASP calculation (meta-GGA SCAN) on a PBEsol-optimized structure of SrNi2P.

Results
Energy: -16.3326 eV per atom
Energy of formation: -7.5 kJ per mole of atoms
DOS at the Fermi energy: 2.02 states/eV per cell

Geometry as POSCAR:
```
SrNi2P
1.0
-2.348 -1.028 -2.503
-4.146 -1.706 2.027
-3.813 3.099 -0.259
Ni Sr P
2 1 1
direct
0.167 0.833 0.833
0.833 0.167 0.167
0.000 0.500 0.500
0.500 0.000 0.000
```